# 1
VASP calculation (GGA+U) on crystalline CsVNO2 at its relaxed geometry.

Output
* symmetry: P4/mmm (123)

a = 4.4285 Å, b = 4.4285 Å, c = 4.4039 Å
α = 90.00°, β = 90.00°, γ = 90.00°
Positions (direct):
Cs 0.0000 0.0000 0.0000
V 0.5000 0.5000 0.5000
N 0.0000 0.0000 0.5000
O 0.0000 0.5000 0.0000
O 0.5000 0.0000 0.0000

---

# 2
VASP calculation (GGA+U) on crystalline CsVN2O at its relaxed geometry.

Output
* symmetry: P4/mmm (123)

a = 4.3016 Å, b = 4.3016 Å, c = 4.5093 Å
α = 90.00°, β = 90.00°, γ = 90.00°
Positions (direct):
Cs 0.0000 0.0000 0.0000
V 0.5000 0.5000 0.5000
N 0.0000 0.5000 0.0000
N 0.5000 0.0000 0.0000
O 0.0000 0.0000 0.5000

---

# 3
VASP calculation (GGA+U) on crystalline CsWN2O at its relaxed geometry.

Output
* symmetry: P4/mmm (123)

a = 4.3717 Å, b = 4.3717 Å, c = 4.4103 Å
α = 90.00°, β = 90.00°, γ = 90.00°
Positions (direct):
Cs 0.0000 0.0000 0.0000
W 0.5000 0.5000 0.5000
N 0.0000 0.5000 0.0000
N 0.5000 0.0000 0.0000
O 0.0000 0.0000 0.5000

---

# 4
VASP calculation (GGA+U) on crystalline CsWN2O at its relaxed geometry.

Output
* symmetry: P4/mmm (123)

a = 4.1579 Å, b = 4.1579 Å, c = 4.1769 Å
α = 90.00°, β = 90.00°, γ = 90.00°
Positions (direct):
Cs 0.0000 0.0000 0.0000
W 0.5000 0.5000 0.5000
N 0.0000 0.5000 0.5000
N 0.5000 0.0000 0.5000
O 0.5000 0.5000 0.0000

---

Number 1: electronic total energy -3.71 eV per atom. Number 2: electronic total energy -3.72 eV per atom. Number 3: electronic total energy -3.13 eV per atom. Number 4: electronic total energy -6.15 eV per atom.